No. 1
# Pm5As4I GGA-PBE optimized geometry
# - spin magnetization (Bohr magnetons per cell) = 0.0
# - raw total energy (hartree per atom) = -0.21462
# - energy relative to the elements, uncorrected (eV/atom) = -1.45
# - theoretical density (Mg/m³) = 6.828
data_Pm5As4I
_chemical_formula_sum 'Pm5 As4 I1'
_space_group_name_H-M_alt 'P 1'
_space_group_IT_number 1
_cell_length_a 4.264
_cell_length_b 7.452
_cell_length_c 9.621
_cell_angle_alpha 75.67
_cell_angle_beta 77.20
_cell_angle_gamma 73.38
loop_
_space_group_symop_operation_xyz
'x,y,z'
loop_
_atom_site_label
_atom_site_type_symbol
_atom_site_fract_x
_atom_site_fract_y
_atom_site_fract_z
_atom_site_occupancy
Pm1 Pm 0.210 0.903 0.677 1
Pm2 Pm 0.790 0.097 0.323 1
Pm3 Pm 0.386 0.346 0.882 1
Pm4 Pm 0.000 0.500 0.500 1
Pm5 Pm 0.614 0.654 0.118 1
As1 As 0.594 0.204 0.608 1
As2 As 0.209 0.381 0.202 1
As3 As 0.791 0.619 0.798 1
As4 As 0.406 0.796 0.392 1
I1 I 0.000 0.000 0.000 1


No. 2
# Mg2CuBr GGA-PBE optimized geometry
# - spin magnetization (Bohr magnetons per cell) = 0.0
# - raw total energy (hartree per atom) = -0.08918
# - energy relative to the elements, uncorrected (eV/atom) = -0.19
# - theoretical density (Mg/m³) = 3.047
# - polymorph energy (0 for the lowest one) (eV per atom) = 0.1556
data_Mg2CuBr
_chemical_formula_sum 'Mg2 Cu1 Br1'
_space_group_name_H-M_alt 'P 1'
_space_group_IT_number 1
_cell_length_a 3.615
_cell_length_b 3.615
_cell_length_c 8.009
_cell_angle_alpha 90.00
_cell_angle_beta 90.00
_cell_angle_gamma 89.99
loop_
_space_group_symop_operation_xyz
'x,y,z'
loop_
_atom_site_label
_atom_site_type_symbol
_atom_site_fract_x
_atom_site_fract_y
_atom_site_fract_z
_atom_site_occupancy
Br1 Br 0.000 0.000 0.403 1
Cu1 Cu 0.500 0.500 0.921 1
Mg1 Mg 0.000 0.000 0.940 1
Mg2 Mg 0.500 0.500 0.236 1


No. 3
# LiYRh2 GGA-PBE optimized geometry
# - spin magnetization (Bohr magnetons per cell) = 0.0
# - raw total energy (hartree per atom) = -0.21522
# - energy relative to the elements (eV per atom) = -0.086
# - theoretical density (Mg/m³) = 6.714
data_LiYRh2
_chemical_formula_sum 'Li2 Y2 Rh4'
_space_group_name_H-M_alt 'P 1'
_space_group_IT_number 1
_cell_length_a 4.165
_cell_length_b 4.165
_cell_length_c 9.093
_cell_angle_alpha 76.76
_cell_angle_beta 76.76
_cell_angle_gamma 90.00
loop_
_space_group_symop_operation_xyz
'x,y,z'
loop_
_atom_site_label
_atom_site_type_symbol
_atom_site_fract_x
_atom_site_fract_y
_atom_site_fract_z
_atom_site_occupancy
Y1 Y 0.000 0.000 0.000 1
Y2 Y 0.750 0.250 0.500 1
Rh1 Rh 0.552 0.125 0.250 1
Rh2 Rh 0.198 0.625 0.250 1
Rh3 Rh 0.375 0.448 0.750 1
Rh4 Rh 0.875 0.802 0.750 1
Li1 Li 0.500 0.500 0.000 1
Li2 Li 0.250 0.750 0.500 1


No. 4
# Cr2CoP GGA-PBE optimized geometry
# - spin magnetization (Bohr magnetons per cell) = 0.4
# - raw total energy (hartree per atom) = -0.29906
# - energy relative to the elements (eV per atom) = -0.197
# - theoretical density (Mg/m³) = 7.369
data_Cr2CoP
_chemical_formula_sum 'Cr2 Co1 P1'
_space_group_name_H-M_alt 'P 1'
_space_group_IT_number 1
_cell_length_a 4.476
_cell_length_b 4.476
_cell_length_c 4.476
_cell_angle_alpha 135.07
_cell_angle_beta 135.55
_cell_angle_gamma 65.05
loop_
_space_group_symop_operation_xyz
'x,y,z'
loop_
_atom_site_label
_atom_site_type_symbol
_atom_site_fract_x
_atom_site_fract_y
_atom_site_fract_z
_atom_site_occupancy
Co1 Co 0.250 0.750 0.500 1
Cr1 Cr 0.000 0.000 0.000 1
Cr2 Cr 0.500 0.500 0.000 1
P1 P 0.750 0.250 0.500 1


No. 5
# CaLaPt4 GGA-PBE optimized geometry
# - spin magnetization (Bohr magnetons per cell) = 0.0
# - raw total energy (hartree per atom) = -0.22894
# - energy relative to the elements (eV per atom) = -1.048
# - theoretical density (Mg/m³) = 13.490
data_CaLaPt4
_chemical_formula_sum 'Ca1 La1 Pt4'
_space_group_name_H-M_alt 'P 1'
_space_group_IT_number 1
_cell_length_a 5.507
_cell_length_b 5.507
_cell_length_c 5.507
_cell_angle_alpha 60.00
_cell_angle_beta 60.00
_cell_angle_gamma 60.00
loop_
_space_group_symop_operation_xyz
'x,y,z'
loop_
_atom_site_label
_atom_site_type_symbol
_atom_site_fract_x
_atom_site_fract_y
_atom_site_fract_z
_atom_site_occupancy
Ca1 Ca 0.250 0.250 0.250 1
La1 La 0.000 0.000 0.000 1
Pt1 Pt 0.126 0.625 0.625 1
Pt2 Pt 0.625 0.625 0.625 1
Pt3 Pt 0.625 0.126 0.625 1
Pt4 Pt 0.625 0.625 0.126 1


No. 6
# KLaBi4O8 GGA-PBE optimized geometry
# - spin magnetization (Bohr magnetons per cell) = 0.0
# - raw total energy (hartree per atom) = -0.21987
# - energy relative to the elements, uncorrected (eV/atom) = -1.61
# - theoretical density (Mg/m³) = 6.973
data_KLaBi4O8
_chemical_formula_sum 'K1 La1 Bi4 O8'
_space_group_name_H-M_alt 'P 1'
_space_group_IT_number 1
_cell_length_a 7.176
_cell_length_b 7.176
_cell_length_c 7.373
_cell_angle_alpha 60.88
_cell_angle_beta 60.88
_cell_angle_gamma 60.00
loop_
_space_group_symop_operation_xyz
'x,y,z'
loop_
_atom_site_label
_atom_site_type_symbol
_atom_site_fract_x
_atom_site_fract_y
_atom_site_fract_z
_atom_site_occupancy
K1 K 0.370 0.370 0.889 1
La1 La 0.999 0.999 0.004 1
Bi1 Bi 0.624 0.624 0.129 1
Bi2 Bi 0.001 0.487 0.512 1
Bi3 Bi 0.487 0.001 0.512 1
Bi4 Bi 0.001 0.001 0.512 1
O1 O 0.235 0.815 0.715 1
O2 O 0.815 0.235 0.715 1
O3 O 0.235 0.235 0.715 1
O4 O 0.225 0.225 0.326 1
O5 O 0.764 0.234 0.237 1
O6 O 0.234 0.764 0.237 1
O7 O 0.764 0.764 0.237 1
O8 O 0.746 0.746 0.762 1